1.
VASP calculation (GGA-PBE) on a relaxed Rb2NpHgO6 crystal.

Values from the calculation:
For the volume, the calculation gives 184.25 Å³/cell. As for the final energy: -6.233 eV per atom. As for the density of states at the Fermi level: 8.660 states/eV/cell. As for the spin magnetization: 0.94 μB/f.u. The calculation puts the uncorrected formation energy at -1.74 eV/atom.

abc: 6.293 6.293 6.292
angles: 116.56 116.56 96.05
Sites, in units of the cell vectors:
Rb  0.250  0.750  0.000
Rb  0.750  0.250  0.000
Np  0.000  0.000  0.500
Hg  0.500  0.500  0.500
O  0.204  0.204  0.911
O  0.206  0.794  0.500
O  0.261  0.261  0.504
O  0.739  0.739  0.496
O  0.794  0.206  0.500
O  0.796  0.796  0.089



2.
VASP calculation (GGA-PBE) on a relaxed Rb3Np2HgO9 crystal.

Values from the calculation:
For the volume, the calculation gives 250.81 Å³/cell. As for the final energy: -7.044 eV per atom. As for the density of states at the Fermi level: 7.129 states/eV/cell. As for the spin magnetization: 1.00 μB/f.u. The calculation puts the uncorrected formation energy at -2.13 eV/atom.

abc: 6.167 6.167 7.615
angles: 90.00 90.00 120.00
Sites, in units of the cell vectors:
Rb  0.000  0.000  0.000
Rb  0.333  0.667  0.653
Rb  0.667  0.333  0.347
Np  0.333  0.667  0.160
Np  0.667  0.333  0.840
Hg  0.000  0.000  0.500
O  0.000  0.500  0.000
O  0.181  0.362  0.309
O  0.181  0.819  0.309
O  0.362  0.181  0.691
O  0.500  0.000  0.000
O  0.500  0.500  0.000
O  0.638  0.819  0.309
O  0.819  0.181  0.691
O  0.819  0.638  0.691



3.
VASP calculation (GGA-PBE) on a relaxed NpHgRhO6 crystal.

Values from the calculation:
For the volume, the calculation gives 252.15 Å³/cell. As for the final energy: -7.084 eV per atom. As for the density of states at the Fermi level: 8.989 states/eV/cell. As for the spin magnetization: 0.10 μB/f.u. The calculation puts the uncorrected formation energy at -1.49 eV/atom.

abc: 5.267 5.267 10.496
angles: 90.00 90.00 120.00
Sites, in units of the cell vectors:
Np  0.333  0.667  0.250
Np  0.667  0.333  0.750
Hg  0.000  0.000  0.000
Hg  0.000  0.000  0.500
Rh  0.333  0.667  0.750
Rh  0.667  0.333  0.250
O  0.001  0.355  0.641
O  0.001  0.646  0.859
O  0.354  0.355  0.859
O  0.354  0.999  0.641
O  0.355  0.001  0.141
O  0.355  0.354  0.359
O  0.645  0.646  0.641
O  0.645  0.999  0.859
O  0.646  0.001  0.359
O  0.646  0.645  0.141
O  0.999  0.354  0.141
O  0.999  0.645  0.359



4.
VASP calculation (GGA-PBE) on a relaxed NpHgRuO6 crystal.

Values from the calculation:
For the volume, the calculation gives 301.02 Å³/cell. As for the final energy: -7.298 eV per atom. As for the density of states at the Fermi level: 8.278 states/eV/cell. As for the spin magnetization: 0.00 μB/f.u. The calculation puts the uncorrected formation energy at -1.49 eV/atom.

abc: 7.539 7.539 7.539
angles: 123.05 117.38 89.70
Sites, in units of the cell vectors:
Np  0.000  0.000  0.000
Np  0.500  0.000  0.500
Hg  0.325  0.575  0.750
Hg  0.675  0.425  0.250
Ru  0.000  0.000  0.500
Ru  0.000  0.500  0.000
O  0.049  0.299  0.750
O  0.051  0.318  0.122
O  0.051  0.929  0.733
O  0.304  0.071  0.622
O  0.304  0.682  0.233
O  0.319  0.069  0.250
O  0.681  0.931  0.750
O  0.696  0.318  0.767
O  0.696  0.929  0.378
O  0.949  0.071  0.267
O  0.949  0.682  0.878
O  0.951  0.701  0.250



5.
VASP calculation (GGA-PBE) on a relaxed NpHgS2O8 crystal.

Values from the calculation:
For the volume, the calculation gives 241.66 Å³/cell. As for the final energy: -6.679 eV per atom. As for the density of states at the Fermi level: 12.045 states/eV/cell. As for the spin magnetization: 2.95 μB/f.u. The calculation puts the uncorrected formation energy at -1.58 eV/atom.

abc: 5.692 5.692 8.613
angles: 90.00 90.00 120.00
Sites, in units of the cell vectors:
Np  0.000  0.000  0.000
Hg  0.000  0.000  0.500
S  0.333  0.667  0.794
S  0.667  0.333  0.206
O  0.192  0.383  0.861
O  0.192  0.808  0.861
O  0.333  0.667  0.628
O  0.383  0.192  0.139
O  0.617  0.808  0.861
O  0.667  0.333  0.372
O  0.808  0.192  0.139
O  0.808  0.617  0.139



6.
VASP calculation (GGA-PBE) on a relaxed NpHgSbO6 crystal.

Values from the calculation:
For the volume, the calculation gives 268.10 Å³/cell. As for the final energy: -6.857 eV per atom. As for the density of states at the Fermi level: 7.046 states/eV/cell. As for the spin magnetization: 1.94 μB/f.u. The calculation puts the uncorrected formation energy at -1.62 eV/atom.

abc: 5.617 5.617 9.811
angles: 90.00 90.00 120.00
Sites, in units of the cell vectors:
Np  0.333  0.667  0.250
Np  0.667  0.333  0.750
Hg  0.000  0.000  0.000
Hg  0.000  0.000  0.500
Sb  0.333  0.667  0.750
Sb  0.667  0.333  0.250
O  0.013  0.371  0.639
O  0.013  0.642  0.861
O  0.358  0.371  0.861
O  0.358  0.987  0.639
O  0.371  0.013  0.139
O  0.371  0.358  0.361
O  0.629  0.642  0.639
O  0.629  0.987  0.861
O  0.642  0.013  0.361
O  0.642  0.629  0.139
O  0.987  0.358  0.139
O  0.987  0.629  0.361



7.
VASP calculation (GGA-PBE) on a relaxed NpScHgO6 crystal.

Values from the calculation:
For the volume, the calculation gives 130.21 Å³/cell. As for the final energy: -7.731 eV per atom. As for the spin magnetization: 0.00 μB/f.u. The calculation puts the uncorrected formation energy at -2.25 eV/atom.

abc: 5.584 5.584 4.825
angles: 90.06 90.06 120.07
Sites, in units of the cell vectors:
Np  0.000  0.000  0.000
Sc  0.667  0.333  0.000
Hg  0.333  0.667  0.500
O  0.321  0.024  0.219
O  0.321  0.297  0.781
O  0.702  0.023  0.781
O  0.703  0.679  0.219
O  0.976  0.679  0.781
O  0.977  0.298  0.219



8.
VASP calculation (GGA-PBE) on a relaxed NpSc2HgO8 crystal.

Values from the calculation:
For the volume, the calculation gives 164.15 Å³/cell. As for the final energy: -7.819 eV per atom. As for the density of states at the Fermi level: 2.255 states/eV/cell. As for the spin magnetization: 0.00 μB/f.u. The calculation puts the uncorrected formation energy at -2.36 eV/atom.

abc: 4.930 4.930 6.782
angles: 93.16 93.16 87.37
Sites, in units of the cell vectors:
Np  0.000  0.000  0.000
Sc  0.483  0.483  0.738
Sc  0.517  0.517  0.262
Hg  0.000  0.000  0.500
O  0.191  0.191  0.765
O  0.211  0.211  0.191
O  0.296  0.704  0.000
O  0.318  0.682  0.500
O  0.682  0.318  0.500
O  0.704  0.296  0.000
O  0.789  0.789  0.809
O  0.809  0.809  0.235